Here is a geometry-optimized NaHoCd structure from Alexandria. Energies are from PBE.

abc: 16.7806 3.5379 5.8512
angles: 90.00 90.00 90.00
Positions (direct):
1 Na 0.1596 0.0000 0.0000
2 Na 0.1596 0.5000 0.5000
3 Na 0.8404 0.0000 0.0000
4 Na 0.8404 0.5000 0.5000
5 Ho 0.3473 0.0000 0.3572
6 Ho 0.3473 0.5000 0.8572
7 Ho 0.6527 0.0000 0.3572
8 Ho 0.6527 0.5000 0.8572
9 Cd 0.0000 0.0000 0.3477
10 Cd 0.0000 0.5000 0.8477
11 Cd 0.5000 0.0000 0.0082
12 Cd 0.5000 0.5000 0.5082

Its energy relative to the elements is 57 meV per atom. The value obtained for the offset from the most stable computed form is 0.042 eV/atom. As for the space group: Amm2.

Here is a geometry-optimized Tb8Bi2Ir structure from Alexandria. Energies are from PBE.

abc: 9.9237 9.9237 7.3239
angles: 97.36 97.36 27.33
Positions (direct):
1 Tb 0.0013 0.0013 0.2750
2 Tb 0.2150 0.2150 0.8498
3 Tb 0.3603 0.3603 0.4583
4 Tb 0.4055 0.4055 0.9871
5 Tb 0.5945 0.5945 0.0129
6 Tb 0.6397 0.6397 0.5417
7 Tb 0.7850 0.7850 0.1502
8 Tb 0.9987 0.9987 0.7250
9 Bi 0.1828 0.1828 0.2809
10 Bi 0.8172 0.8172 0.7191
11 Ir 0.5000 0.5000 0.5000

Its energy relative to the elements is -447 meV per atom. As for the space group: C2/m.